Entry 1:
First-principles (PBE) data for a geometry-optimized Sm5Y4Cd structure, as listed in Alexandria via LeMat-Bulk. Values from VASP.

The structure in Quantum ESPRESSO input format:
```
&SYSTEM
  ibrav = 0, nat = 10, ntyp = 3
/
ATOMIC_SPECIES
Sm 150.36 Sm.upf
Y 88.91 Y.upf
Cd 112.41 Cd.upf
CELL_PARAMETERS angstrom
3.6227 0.0000 0.0000
0.0000 3.6227 0.0000
0.0000 0.0000 24.4304
ATOMIC_POSITIONS crystal
Sm 0.5000 0.5000 0.0860
Sm 0.5000 0.5000 0.2933
Sm 0.5000 0.5000 0.5000
Sm 0.5000 0.5000 0.7067
Sm 0.5000 0.5000 0.9140
Y 0.0000 0.0000 0.1897
Y 0.0000 0.0000 0.3967
Y 0.0000 0.0000 0.6033
Y 0.0000 0.0000 0.8103
Cd 0.0000 0.0000 0.0000
```

## Properties
VASP energy in eV/atom: -5.083
DFT formation energy in eV per atom: -0.046

---

Entry 2:
First-principles (PBE) data for a geometry-optimized TaBiOs3 structure, as listed in Alexandria via LeMat-Bulk. Values from VASP.

The structure in Quantum ESPRESSO input format:
```
&SYSTEM
  ibrav = 0, nat = 5, ntyp = 3
/
ATOMIC_SPECIES
Os 190.23 Os.upf
Bi 208.98 Bi.upf
Ta 180.95 Ta.upf
CELL_PARAMETERS angstrom
4.8326 0.0000 0.0000
0.0000 4.8326 0.0000
0.0000 0.0000 4.8326
ATOMIC_POSITIONS crystal
Os 0.0000 0.5000 0.0000
Os 0.0000 0.0000 0.5000
Os 0.5000 0.0000 0.0000
Bi 0.0000 0.0000 0.0000
Ta 0.5000 0.5000 0.5000
```

## Properties
VASP energy in eV/atom: -6.885
DFT formation energy in eV per atom: 3.000

---

Entry 3:
First-principles (PBE) data for a geometry-optimized Ce4TePbC structure, as listed in Alexandria via LeMat-Bulk. Values from VASP.

The structure in Quantum ESPRESSO input format:
```
&SYSTEM
  ibrav = 0, nat = 14, ntyp = 4
/
ATOMIC_SPECIES
Ce 140.12 Ce.upf
Te 127.60 Te.upf
Pb 207.20 Pb.upf
C 12.01 C.upf
CELL_PARAMETERS angstrom
-4.3161 3.9856 -3.6334
-4.9639 -4.7544 0.6814
-0.3436 1.6117 8.7423
ATOMIC_POSITIONS crystal
Ce 0.9056 0.2500 0.8112
Ce 0.4065 0.7500 0.8130
Ce 0.0944 0.7500 0.1888
Ce 0.5935 0.2500 0.1870
Ce 0.5000 0.5000 0.5000
Ce 0.0000 0.0000 0.5000
Ce 0.5000 0.0000 0.5000
Ce 0.0000 0.5000 0.5000
Te 0.6101 0.7500 0.2203
Te 0.3899 0.2500 0.7797
Pb 0.1057 0.2500 0.2114
Pb 0.8943 0.7500 0.7886
C 0.2507 0.7500 0.5014
C 0.7493 0.2500 0.4986
```

## Properties
VASP energy in eV/atom: -6.267

---

Entry 4:
First-principles (PBE) data for a geometry-optimized NdBPt4 structure, as listed in Alexandria via LeMat-Bulk. Values from VASP.

The structure in Quantum ESPRESSO input format:
```
&SYSTEM
  ibrav = 0, nat = 12, ntyp = 3
/
ATOMIC_SPECIES
Nd 144.24 Nd.upf
B 10.81 B.upf
Pt 195.08 Pt.upf
CELL_PARAMETERS angstrom
-0.6636 2.4934 -2.9767
-5.4211 2.3692 3.1932
4.2748 5.1977 3.4009
ATOMIC_POSITIONS crystal
Nd 0.0000 0.5997 0.7500
Nd 0.0000 0.4003 0.2500
B 0.0000 0.1544 0.7500
B 0.0000 0.8456 0.2500
Pt 0.0000 0.0000 0.5000
Pt 0.0000 0.0000 0.0000
Pt 0.5000 0.9489 0.7500
Pt 0.5000 0.0511 0.2500
Pt 0.5000 0.6968 0.0621
Pt 0.5000 0.3032 0.9379
Pt 0.5000 0.6968 0.4379
Pt 0.5000 0.3032 0.5621
```

## Properties
VASP energy in eV/atom: -6.498
DFT formation energy in eV per atom: -0.564

---

Question: Look up the VASP energy of the fourth one.
Answer: -6.498 eV/atom